DFT (PBE) results for a geometry-optimized Bi10Mo3 structure.

N(E_F)   16.4 states/eV per cell
E   -134.1 eV for the cell shown
Total magnetization   0.000 μB/atom
Crystal system   monoclinic

a b c (Å): 20.0066 4.9107 7.4195
angles (deg): 90.00 98.60 90.00
With the nearest neighbours (Å) after each atom.
Space group C2/m (No. 12)
Inequivalent atoms, fractional coordinates:
Bi (0.0305, 0.0000, 0.2236)  4 Mo 2.97-3.07, 2 Bi 3.31
Bi (0.0698, 0.5000, 0.6844)  3 Mo 2.90-3.12
Bi (0.1397, 0.5000, 0.1722)  3 Mo 2.89-3.06
Bi (0.1725, 0.0000, 0.5823)  1 Mo 2.87
Bi (0.2363, 0.5000, 0.8406)  3 Mo 3.11-3.48, 6 Bi 3.26-3.40
Mo (0.0000, 0.5000, 0.0000)  8 Bi 2.89-2.97
Mo (0.1213, 0.0000, 0.9243)  8 Bi 2.87-3.12